# DyY2Si4Pd4 (GGA-PBE, optimized geometry)
# - Crystal system: orthorhombic
# - Uncorrected energy: -6.400 eV per atom
data_DyY2Si4Pd4
_space_group_name_H-M_alt 'I m m m'
_space_group_IT_number 71
_space_group_name_Hall '-I 2 2'
_cell_length_a 4.1301
_cell_length_b 6.9698
_cell_length_c 13.6868
_cell_angle_alpha 90.00
_cell_angle_beta 90.00
_cell_angle_gamma 90.00
loop_
_atom_site_label
_atom_site_type_symbol
_atom_site_fract_x
_atom_site_fract_y
_atom_site_fract_z
Dy1 Dy 0.0000 0.0000 0.0000
Y1 Y 0.0000 0.5000 0.1246
Si1 Si 0.0000 0.0000 0.2190
Si2 Si 0.0000 0.1823 0.5000
Pd1 Pd 0.0000 0.2993 0.3253

# Co3Bi5Au (GGA-PBE, optimized geometry)
# - Crystal system: hexagonal
# - Uncorrected energy: -4.767 eV per atom
data_Co3Bi5Au
_space_group_name_H-M_alt 'P 6/m m m'
_space_group_IT_number 191
_space_group_name_Hall '-P 6 2'
_cell_length_a 5.4815
_cell_length_b 5.4815
_cell_length_c 7.9446
_cell_angle_alpha 90.00
_cell_angle_beta 90.00
_cell_angle_gamma 120.00
loop_
_atom_site_label
_atom_site_type_symbol
_atom_site_fract_x
_atom_site_fract_y
_atom_site_fract_z
Co1 Co 0.0000 0.5000 0.0000
Bi1 Bi 0.0000 0.0000 0.0000
Bi2 Bi 0.3333 0.6667 0.2780
Au1 Au 0.0000 0.0000 0.5000

# SmHfSi (GGA-PBE, optimized geometry)
# - Crystal system: cubic
# - Uncorrected energy: -5.809 eV per atom
data_SmHfSi
_space_group_name_H-M_alt 'F -4 3 m'
_space_group_IT_number 216
_space_group_name_Hall 'F -4 2 3'
_cell_length_a 6.8299
_cell_length_b 6.8299
_cell_length_c 6.8299
_cell_angle_alpha 90.00
_cell_angle_beta 90.00
_cell_angle_gamma 90.00
loop_
_atom_site_label
_atom_site_type_symbol
_atom_site_fract_x
_atom_site_fract_y
_atom_site_fract_z
Sm1 Sm 0.0000 0.0000 0.0000
Hf1 Hf 0.2500 0.2500 0.7500
Si1 Si 0.2500 0.2500 0.2500

# LuNiB (GGA-PBE, optimized geometry)
# - Relative energy among the computed polymorphs: 832 meV per atom
# - Crystal system: cubic
# - Uncorrected energy: -4.791 eV per atom
data_LuNiB
_space_group_name_H-M_alt 'F -4 3 m'
_space_group_IT_number 216
_space_group_name_Hall 'F -4 2 3'
_cell_length_a 5.8960
_cell_length_b 5.8960
_cell_length_c 5.8960
_cell_angle_alpha 90.00
_cell_angle_beta 90.00
_cell_angle_gamma 90.00
loop_
_atom_site_label
_atom_site_type_symbol
_atom_site_fract_x
_atom_site_fract_y
_atom_site_fract_z
Lu1 Lu 0.0000 0.0000 0.0000
Ni1 Ni 0.2500 0.2500 0.2500
B1 B 0.2500 0.2500 0.7500

In the order shown, the computed volume values come out to 197.0; 206.7; 79.6; 51.2 Å³/f.u..